Density functional theory data (GGA-PBE) for an optimized crystal structure of ScTl2Os3O12.

Unit cell a=7.2821 b=7.2821 c=18.1906 alpha=90.00 beta=90.00 gamma=120.00
Space group R-3m (No. 166, hexagonal axes)
Asymmetric unit:
Sc 0.0000 0.0000 0.0000
Tl 0.0000 0.0000 0.3506
Os 0.0000 0.5000 0.5000
O 0.0576 0.5288 0.6014
O 0.0812 0.5406 0.8479

Total moment: 0.12 μB/atom
Formation energy from raw total energies: -1269 meV per atom

---

Density functional theory data (GGA-PBE) for an optimized crystal structure of ScTlOs2O8.

Unit cell a=8.550 b=6.201 c=8.328 alpha=90.00 beta=96.67 gamma=90.00
Space group C2/m (No. 12)
Asymmetric unit:
Sc 0.000 0.000 0.000
Tl 0.000 0.000 0.500
Os 0.139 0.500 0.218
O 0.070 0.226 0.184
O 0.149 0.500 0.430
O 0.233 0.000 0.940

Total moment: 0.00 μB/atom
Formation energy from raw total energies: -1357 meV per atom